Computed, not measured: a relaxed structure of U2Tl2VS6 at the PBE level of DFT.

```
data_U2Tl2VS6
_chemical_formula_sum 'U2 Tl2 V1 S6'
_cell_length_a 6.593
_cell_length_b 6.593
_cell_length_c 8.014
_cell_angle_alpha 98.20
_cell_angle_beta 98.20
_cell_angle_gamma 119.52
_space_group_name_H-M_alt 'P 1'
_space_group_IT_number 1
loop_
_space_group_symop_operation_xyz
'x,y,z'
loop_
_atom_site_label
_atom_site_fract_x
_atom_site_fract_y
_atom_site_fract_z
U1 0.166 0.834 0.000
U2 0.834 0.166 0.000
Tl1 0.329 0.671 0.500
Tl2 0.671 0.329 0.500
V1 0.500 0.500 0.000
S1 0.121 0.435 0.811
S2 0.257 0.257 0.191
S3 0.435 0.121 0.811
S4 0.565 0.879 0.189
S5 0.743 0.743 0.809
S6 0.879 0.565 0.189
```

Summary:
space-group type: C2/m
E_form (uncorrected): -1019.3 meV/atom

***

Computed, not measured: a relaxed structure of YInBr2 at the PBE level of DFT.

```
data_YInBr2
_chemical_formula_sum 'Y1 In1 Br2'
_cell_length_a 4.865
_cell_length_b 3.746
_cell_length_c 5.984
_cell_angle_alpha 90.00
_cell_angle_beta 90.28
_cell_angle_gamma 90.00
_space_group_name_H-M_alt 'P 1'
_space_group_IT_number 1
loop_
_space_group_symop_operation_xyz
'x,y,z'
loop_
_atom_site_label
_atom_site_fract_x
_atom_site_fract_y
_atom_site_fract_z
Y1 0.000 0.000 0.000
In1 0.000 0.500 0.500
Br1 0.500 0.000 0.500
Br2 0.500 0.500 0.000
```

Summary:
space-group type: P2/m
excess energy over the best structure of this formula in the dataset: 244 meV/atom
E_form (uncorrected): -795.3 meV/atom

***

Computed, not measured: a relaxed structure of MnCdTc2 at the PBE level of DFT.

```
data_MnCdTc2
_chemical_formula_sum 'Mn1 Cd1 Tc2'
_cell_length_a 3.809
_cell_length_b 3.809
_cell_length_c 4.250
_cell_angle_alpha 90.00
_cell_angle_beta 90.00
_cell_angle_gamma 90.00
_space_group_name_H-M_alt 'P 1'
_space_group_IT_number 1
loop_
_space_group_symop_operation_xyz
'x,y,z'
loop_
_atom_site_label
_atom_site_fract_x
_atom_site_fract_y
_atom_site_fract_z
Mn1 0.000 0.000 0.000
Cd1 0.500 0.500 0.000
Tc1 0.000 0.500 0.500
Tc2 0.500 0.000 0.500
```

Summary:
space-group type: P4/mmm
formation enthalpy at 0 K: 0.4078 eV per atom

***

Computed, not measured: a relaxed structure of Ni2AuSe at the PBE level of DFT.

```
data_Ni2AuSe
_chemical_formula_sum 'Ni2 Au1 Se1'
_cell_length_a 3.090
_cell_length_b 3.154
_cell_length_c 6.420
_cell_angle_alpha 90.00
_cell_angle_beta 90.00
_cell_angle_gamma 90.00
_space_group_name_H-M_alt 'P 1'
_space_group_IT_number 1
loop_
_space_group_symop_operation_xyz
'x,y,z'
loop_
_atom_site_label
_atom_site_fract_x
_atom_site_fract_y
_atom_site_fract_z
Ni1 0.000 0.000 0.000
Ni2 0.500 0.500 0.206
Au1 0.000 0.000 0.438
Se1 0.500 0.500 0.843
```

Summary:
space-group type: Pmm2
E_form (uncorrected): 64.0 meV/atom